Below is Be3HOs at its PBEsol-relaxed geometry, with properties calculated at the SCAN level.

Output
Space-group type ... Pm-3m, No. 221
Total moment ... 0.76 μB/f.u.
Volume ... 7.93 Å³/atom
DFT total energy ... -88.80 eV per cell

a b c (Å): 3.4101 3.4101 3.4101
angles (deg): 90.00 90.00 90.00
Atoms (fractional coordinates):
1 Os 0.5000 0.5000 0.5000
2 Be 0.0000 0.5000 0.0000
3 Be 0.5000 0.0000 0.0000
4 Be 0.0000 0.0000 0.5000
5 H 0.0000 0.0000 0.0000

***

Below is TaBeHOs2 at its PBEsol-relaxed geometry, with properties calculated at the SCAN level.

Output
Space-group type ... P4/mmm, No. 123
Total moment ... 0.00 μB/f.u.
Volume ... 11.99 Å³/atom
DFT total energy ... -215.93 eV per cell

a b c (Å): 3.1389 4.3706 4.3706
angles (deg): 90.00 90.00 90.00
Atoms (fractional coordinates):
1 Ta 0.5000 0.5000 0.5000
2 Os 0.0000 0.5000 0.0000
3 Be 0.0000 0.0000 0.0000
4 H 0.5000 0.0000 0.0000
5 Os 0.0000 0.0000 0.5000

***

Below is BePH2S at its PBEsol-relaxed geometry, with properties calculated at the SCAN level.

Output
Space-group type ... P4/mmm, No. 123
Total moment ... 0.82 μB/f.u.
Volume ... 10.28 Å³/atom
DFT total energy ... -29.15 eV per cell

a b c (Å): 3.1958 3.1958 5.0332
angles (deg): 90.00 90.00 90.00
Atoms (fractional coordinates):
1 Be 0.0000 0.0000 0.5000
2 P 0.5000 0.5000 0.5000
3 H 0.0000 0.5000 0.0000
4 H 0.5000 0.0000 0.0000
5 S 0.0000 0.0000 0.0000